Entry 1:
Computed, not measured: a relaxed structure of TiGe3Sb at the GGA-PBE level of DFT.

The energy above the most stable polymorph in this dataset is 0 meV/atom. For the final energy, the calculation gives -23.97 eV/cell. The formation energy (no corrections) comes out at 381 meV/atom.

The structure belongs to space group Pm-3m (No. 221); the cell edges are 4.960, 4.960 and 4.960 Å and the angles 90.00°, 90.00° and 90.00°. Symmetry generates all atoms from Ti at (0.000, 0.000, 0.000), Ge at (0.000, 0.000, 0.500) and Sb at (0.500, 0.500, 0.500).


Entry 2:
Computed, not measured: a relaxed structure of Ti2GeSbW at the GGA-PBE level of DFT.

For the final energy, the calculation gives -33.05 eV/cell. The formation energy (no corrections) comes out at 887 meV/atom.

The structure belongs to space group P4/mmm (No. 123); the cell edges are 4.856, 4.856 and 5.110 Å and the angles 90.00°, 90.00° and 90.00°. Symmetry generates all atoms from Ti at (0.000, 0.500, 0.000), Ge at (0.000, 0.000, 0.500), Sb at (0.500, 0.500, 0.500) and W at (0.500, 0.500, 0.000).


Entry 3:
Computed, not measured: a relaxed structure of ZrTiGeSb2 at the GGA-PBE level of DFT.

For the final energy, the calculation gives -26.81 eV/cell. The formation energy (no corrections) comes out at 499 meV/atom.

The structure belongs to space group P4/mmm (No. 123); the cell edges are 5.178, 5.178 and 5.025 Å and the angles 90.00°, 90.00° and 90.00°. Symmetry generates all atoms from Zr at (0.000, 0.000, 0.000), Ti at (0.000, 0.000, 0.500), Ge at (0.500, 0.500, 0.000) and Sb at (0.000, 0.500, 0.500).


Entry 4:
Computed, not measured: a relaxed structure of Tl2GeSb4 at the GGA-PBE level of DFT.

For the final energy, the calculation gives -45.62 eV/cell. The formation energy (no corrections) comes out at 433 meV/atom.

The structure belongs to space group I4/mmm (No. 139); the cell edges are 5.480, 5.480 and 15.296 Å and the angles 90.00°, 90.00° and 90.00°. Symmetry generates all atoms from Tl at (0.000, 0.000, 0.122), Ge at (0.000, 0.000, 0.500), Sb at (0.000, 0.000, 0.320) and Sb at (0.000, 0.500, 0.000).


Entry 5:
Computed, not measured: a relaxed structure of Tl2Ge2Sb at the GGA-PBE level of DFT.

The energy above the most stable polymorph in this dataset is 160 meV/atom. For the final energy, the calculation gives -32.85 eV/cell. The formation energy (no corrections) comes out at 333 meV/atom.

The structure belongs to space group I4/mmm (No. 139); the cell edges are 4.362, 4.362 and 14.608 Å and the angles 90.00°, 90.00° and 90.00°. Symmetry generates all atoms from Tl at (0.000, 0.500, 0.250), Ge at (0.000, 0.000, 0.084) and Sb at (0.000, 0.000, 0.500).


Entry 6:
Computed, not measured: a relaxed structure of Tl3GeSb at the GGA-PBE level of DFT.

The energy above the most stable polymorph in this dataset is 0 meV/atom. For the final energy, the calculation gives -13.97 eV/cell. The formation energy (no corrections) comes out at 374 meV/atom.

The structure belongs to space group Pm-3m (No. 221); the cell edges are 5.466, 5.466 and 5.466 Å and the angles 90.00°, 90.00° and 90.00°. Symmetry generates all atoms from Tl at (0.000, 0.000, 0.500), Ge at (0.000, 0.000, 0.000) and Sb at (0.500, 0.500, 0.500).


Entry 7:
Computed, not measured: a relaxed structure of Tl2Ge2Sb at the GGA-PBE level of DFT.

The energy above the most stable polymorph in this dataset is 53 meV/atom. For the final energy, the calculation gives -33.93 eV/cell. The formation energy (no corrections) comes out at 225 meV/atom.

The structure belongs to space group I4/mmm (No. 139); the cell edges are 3.762, 3.762 and 19.147 Å and the angles 90.00°, 90.00° and 90.00°. Symmetry generates all atoms from Tl at (0.000, 0.000, 0.109), Ge at (0.000, 0.500, 0.250) and Sb at (0.000, 0.000, 0.500).


Entry 8:
Computed, not measured: a relaxed structure of Tl2Ge2Sb at the GGA-PBE level of DFT.

The energy above the most stable polymorph in this dataset is 0 meV/atom. For the final energy, the calculation gives -34.46 eV/cell. The formation energy (no corrections) comes out at 172 meV/atom.

The structure belongs to space group P4/mbm (No. 127); the cell edges are 7.308, 7.308 and 5.192 Å and the angles 90.00°, 90.00° and 90.00°. Symmetry generates all atoms from Tl at (0.180, 0.320, 0.000), Ge at (0.123, 0.623, 0.500) and Sb at (0.000, 0.000, 0.500).


Entry 9:
Computed, not measured: a relaxed structure of TlGe2Sb at the GGA-PBE level of DFT.

The energy above the most stable polymorph in this dataset is 0 meV/atom. For the final energy, the calculation gives -59.58 eV/cell. The formation energy (no corrections) comes out at 207 meV/atom.

The structure belongs to space group I-42d (No. 122); the cell edges are 6.347, 6.347 and 12.512 Å and the angles 90.00°, 90.00° and 90.00°. Symmetry generates all atoms from Tl at (0.000, 0.000, 0.000), Ge at (0.247, 0.250, 0.625) and Sb at (0.000, 0.000, 0.500).


Entry 10:
Computed, not measured: a relaxed structure of TlGe2Sb at the GGA-PBE level of DFT.

The energy above the most stable polymorph in this dataset is 103 meV/atom. For the final energy, the calculation gives -57.93 eV/cell. The formation energy (no corrections) comes out at 310 meV/atom.

The structure belongs to space group Fm-3m (No. 225); the cell edges are 7.319, 7.319 and 7.319 Å and the angles 90.00°, 90.00° and 90.00°. Symmetry generates all atoms from Tl at (0.000, 0.000, 0.000), Ge at (0.250, 0.250, 0.250) and Sb at (0.000, 0.000, 0.500).


Entry 11:
Computed, not measured: a relaxed structure of TlGeSb3 at the GGA-PBE level of DFT.

The energy above the most stable polymorph in this dataset is 0 meV/atom. For the final energy, the calculation gives -16.96 eV/cell. The formation energy (no corrections) comes out at 479 meV/atom.

The structure belongs to space group Pm-3m (No. 221); the cell edges are 5.450, 5.450 and 5.450 Å and the angles 90.00°, 90.00° and 90.00°. Symmetry generates all atoms from Tl at (0.000, 0.000, 0.000), Ge at (0.500, 0.500, 0.500) and Sb at (0.000, 0.500, 0.500).


Entry 12:
Computed, not measured: a relaxed structure of TlGeSb3 at the GGA-PBE level of DFT.

The energy above the most stable polymorph in this dataset is 603 meV/atom. For the final energy, the calculation gives -13.94 eV/cell. The formation energy (no corrections) comes out at 1082 meV/atom.

The structure belongs to space group Pm-3m (No. 221); the cell edges are 5.647, 5.647 and 5.647 Å and the angles 90.00°, 90.00° and 90.00°. Symmetry generates all atoms from Tl at (0.000, 0.000, 0.000), Ge at (0.500, 0.500, 0.500) and Sb at (0.000, 0.000, 0.500).


Which value of final energy does entry 12 give? -13.94 eV/cell


Look up the final energy of the third one. -26.81 eV/cell


Which of these has the lowest formation energy (no corrections)? number 8